Material: HfAsO2F
Method: DFT, PBE-GGA
State: relaxed

* space group: P4/mmm, No. 123
* E_form (uncorrected): -1.945 eV/atom

a b c (Å): 4.134 4.134 4.152
angles (deg): 90.00 90.00 90.00
Element x y z (fractional)
O: 0.500 0.000 0.000
F: 0.000 0.000 0.500
O: 0.000 0.500 0.000
Hf: 0.000 0.000 0.000
As: 0.500 0.500 0.500

Material: LaTa2Ru2
Method: DFT, PBE-GGA
State: relaxed

* space group: P4/mbm, No. 127
* E above lowest polymorph: 0.278 eV/atom
* calculated formation energy: 0.0 eV per formula unit

a b c (Å): 7.964 7.964 3.021
angles (deg): 90.00 90.00 90.00
Element x y z (fractional)
Ta: 0.359 0.141 0.500
Ta: 0.641 0.859 0.500
Ru: 0.358 0.858 0.000
Ta: 0.141 0.641 0.500
Ru: 0.858 0.642 0.000
Ru: 0.142 0.358 0.000
La: 0.000 0.000 0.000
La: 0.500 0.500 0.000
Ru: 0.642 0.142 0.000
Ta: 0.859 0.359 0.500

Material: Pm12Pr6Nd
Method: DFT, PBE-GGA
State: relaxed

* space group: R-3m, No. 166
* E above lowest polymorph: 0.063 eV/atom
* calculated formation energy: 3.7 eV per formula unit

a b c (Å): 8.953 8.953 8.953
angles (deg): 99.23 99.23 99.23
Element x y z (fractional)
Pm: 0.242 0.758 0.500
Pm: 0.355 0.355 0.083
Pr: 0.905 0.341 0.905
Pr: 0.095 0.659 0.095
Pm: 0.645 0.645 0.917
Pm: 0.355 0.083 0.355
Nd: 0.000 0.000 0.000
Pr: 0.095 0.095 0.659
Pm: 0.645 0.917 0.645
Pr: 0.341 0.905 0.905
Pm: 0.500 0.242 0.758
Pr: 0.659 0.095 0.095
Pm: 0.758 0.242 0.500
Pr: 0.905 0.905 0.341
Pm: 0.242 0.500 0.758
Pm: 0.083 0.355 0.355
Pm: 0.917 0.645 0.645
Pm: 0.500 0.758 0.242
Pm: 0.758 0.500 0.242